! IrOsS2Cl | Alexandria via LeMat-Bulk | PBE | relaxed; values from VASP
&SYSTEM
  ibrav = 0, nat = 5, ntyp = 4
/
ATOMIC_SPECIES
Ir 192.22 Ir.upf
S 32.06 S.upf
Os 190.23 Os.upf
Cl 35.45 Cl.upf
CELL_PARAMETERS angstrom
-1.2778 -1.1994 -4.1074
0.9674 -4.1996 0.9253
-4.1651 -0.6332 1.4807
ATOMIC_POSITIONS crystal
Ir 0.5000 0.5000 0.5000
S 0.5000 0.0000 0.0000
Os 0.0000 0.5000 0.0000
Cl 0.0000 0.0000 0.0000
S 0.0000 0.0000 0.5000
! **Relative energy among the computed polymorphs**: 954.0 meV/atom
! **Space-group type**: P4/mmm
! **V**: 17.58 Å³/atom